VASP calculation (PBE-GGA) on a geometry-optimized Tb4Pm2Te3N2 structure.

The structure belongs to space group I4/mmm (No. 139); the cell edges are 4.618, 4.618 and 25.912 Å and the angles 90.00°, 90.00° and 90.00°. The distinct sites, in fractional coordinates, are Tb at (0.000, 0.500, 0.085), Pm at (0.000, 0.000, 0.196), Te at (0.000, 0.000, 0.324), Te at (0.000, 0.000, 0.500) and N at (0.000, 0.000, 0.103).

As for the energy: -134.4 eV per cell. Its volume is 25.11 Å³ per atom. Its magnetization is 0.00 μB/atom. The raw formation energy comes out at -1.1907 eV per atom.

***

VASP calculation (PBE-GGA) on a geometry-optimized CoPt2Se structure.

The structure belongs to space group I4/mmm (No. 139); the cell edges are 3.960, 3.960 and 7.820 Å and the angles 90.00°, 90.00° and 90.00°. The distinct sites, in fractional coordinates, are Co at (0.000, 0.000, 0.000), Pt at (0.000, 0.500, 0.250) and Se at (0.000, 0.000, 0.500).

As for the energy: -43.3 eV per cell. Its volume is 15.33 Å³ per atom. Its magnetization is 0.57 μB/atom. The raw formation energy comes out at 0.2546 eV per atom.

***

VASP calculation (PBE-GGA) on a geometry-optimized Ac2EuZn structure.

The structure belongs to space group R-3m (No. 166, hexagonal axes); the cell edges are 3.8476, 3.8476 and 38.8971 Å and the angles 90.00°, 90.00° and 120.00°. The distinct sites, in fractional coordinates, are Ac at (0.0000, 0.0000, 0.0843), Eu at (0.0000, 0.0000, 0.5000) and Zn at (0.0000, 0.0000, 0.0000).

As for the energy: -55.5 eV per cell. Its volume is 41.56 Å³ per atom. As for the distance to the lowest polymorph of the same formula: 0.425 eV per atom. Its magnetization is 1.97 μB/atom. For the formation enthalpy at 0 K, the calculation gives 0.314 eV per atom.

***

VASP calculation (PBE-GGA) on a geometry-optimized KCaAl2 structure.

The structure belongs to space group C2/m (No. 12); the cell edges are 10.974, 4.523 and 7.937 Å and the angles 90.00°, 125.29° and 90.00°. The distinct sites, in fractional coordinates, are K at (0.000, 0.000, 0.000), Ca at (0.000, 0.500, 0.500) and Al at (0.223, 0.000, 0.548).

As for the energy: -20.3 eV per cell. Its volume is 40.20 Å³ per atom. As for the distance to the lowest polymorph of the same formula: 0.006 eV per atom. Its magnetization is 0.00 μB/atom. For the formation enthalpy at 0 K, the calculation gives 0.106 eV per atom.

***

VASP calculation (PBE-GGA) on a geometry-optimized Sr2LaTc structure.

The structure belongs to space group Fm-3m (No. 225); the cell edges are 7.854, 7.854 and 7.854 Å and the angles 90.00°, 90.00° and 90.00°. The distinct sites, in fractional coordinates, are Sr at (0.250, 0.250, 0.250), La at (0.000, 0.000, 0.000) and Tc at (0.000, 0.000, 0.500).

As for the energy: -61.6 eV per cell. Its volume is 30.28 Å³ per atom. As for the distance to the lowest polymorph of the same formula: 0.498 eV per atom. Its magnetization is 0.00 μB/atom. For the formation enthalpy at 0 K, the calculation gives 0.815 eV per atom.

***

VASP calculation (PBE-GGA) on a geometry-optimized Cs2CdGePt structure.

The structure belongs to space group P4/mmm (No. 123); the cell edges are 6.934, 6.934 and 4.716 Å and the angles 90.00°, 90.00° and 90.00°. The distinct sites, in fractional coordinates, are Cs at (0.000, 0.500, 0.000), Cd at (0.000, 0.000, 0.500), Ge at (0.500, 0.500, 0.500) and Pt at (0.500, 0.500, 0.000).

As for the energy: -13.7 eV per cell. Its volume is 45.35 Å³ per atom. Its magnetization is 0.00 μB/atom. For the formation enthalpy at 0 K, the calculation gives -0.092 eV per atom.

***

VASP calculation (PBE-GGA) on a geometry-optimized LiThBi structure.

The structure belongs to space group P4/nmm (No. 129, origin choice 2); the cell edges are 4.386, 4.386 and 8.400 Å and the angles 90.00°, 90.00° and 90.00°. The distinct sites, in fractional coordinates, are Li at (0.250, 0.750, 0.000), Th at (0.250, 0.250, 0.369) and Bi at (0.250, 0.250, 0.775).

As for the energy: -29.3 eV per cell. Its volume is 26.94 Å³ per atom. As for the distance to the lowest polymorph of the same formula: 0.000 eV per atom. Its magnetization is 0.00 μB/atom. For the formation enthalpy at 0 K, the calculation gives -0.479 eV per atom.

***

VASP calculation (PBE-GGA) on a geometry-optimized CuNi2Rh structure.

The structure belongs to space group Pmm2 (No. 25); the cell edges are 2.604, 4.199 and 4.447 Å and the angles 90.00°, 90.00° and 90.00°. The distinct sites, in fractional coordinates, are Cu at (0.000, 0.000, 0.000), Ni at (0.500, 0.000, 0.511), Ni at (0.500, 0.500, 0.843) and Rh at (0.000, 0.500, 0.348).

As for the energy: -22.8 eV per cell. Its volume is 12.16 Å³ per atom. Its magnetization is 0.43 μB/atom. For the formation enthalpy at 0 K, the calculation gives 0.059 eV per atom.

***

VASP calculation (PBE-GGA) on a geometry-optimized TmPuGe3 structure.

The structure belongs to space group Cmcm (No. 63); the cell edges are 4.143, 26.757 and 3.973 Å and the angles 90.00°, 90.00° and 90.00°. The distinct sites, in fractional coordinates, are Tm at (0.000, 0.204, 0.250), Pu at (0.000, 0.075, 0.750), Ge at (0.000, 0.313, 0.250), Ge at (0.000, 0.376, 0.750) and Ge at (0.000, 0.472, 0.750).

As for the energy: -140.9 eV per cell. Its volume is 22.02 Å³ per atom. Its magnetization is 1.14 μB/atom. For the formation enthalpy at 0 K, the calculation gives -0.513 eV per atom.

***

VASP calculation (PBE-GGA) on a geometry-optimized MnCrPt structure.

The structure belongs to space group F-43m (No. 216); the cell edges are 5.816, 5.816 and 5.816 Å and the angles 90.00°, 90.00° and 90.00°. The distinct sites, in fractional coordinates, are Mn at (0.000, 0.000, 0.000), Cr at (0.250, 0.250, 0.750) and Pt at (0.250, 0.250, 0.250).

As for the energy: -97.9 eV per cell. Its volume is 16.39 Å³ per atom. As for the distance to the lowest polymorph of the same formula: 0.264 eV per atom. Its magnetization is 0.03 μB/atom. For the formation enthalpy at 0 K, the calculation gives 0.117 eV per atom.

***

VASP calculation (PBE-GGA) on a geometry-optimized YMgCu2 structure.

The structure belongs to space group F-43m (No. 216); the cell edges are 6.624, 6.624 and 6.624 Å and the angles 90.00°, 90.00° and 90.00°. The distinct sites, in fractional coordinates, are Y at (0.000, 0.000, 0.000), Mg at (0.250, 0.250, 0.250), Cu at (0.000, 0.000, 0.500) and Cu at (0.250, 0.250, 0.750).

As for the energy: -64.6 eV per cell. Its volume is 18.16 Å³ per atom. Its magnetization is 0.00 μB/atom. For the formation enthalpy at 0 K, the calculation gives 0.027 eV per atom.

***

VASP calculation (PBE-GGA) on a geometry-optimized Ho3Ir structure.

The structure belongs to space group I-4 (No. 82); the cell edges are 11.623, 11.623 and 6.092 Å and the angles 90.00°, 90.00° and 90.00°. The distinct sites, in fractional coordinates, are Ho at (0.000, 0.142, 0.250), Ho at (0.095, 0.404, 0.996), Ho at (0.203, 0.296, 0.554) and Ir at (0.000, 0.208, 0.750).

As for the energy: -198.4 eV per cell. Its volume is 25.72 Å³ per atom. Its magnetization is 0.00 μB/atom. For the formation enthalpy at 0 K, the calculation gives -0.551 eV per atom.